{
  "formula": "LiZrB12",
  "functional": "PBE-GGA",
  "state": "optimized geometry",
  "cell": [[4.0790, 0.0000, 0.0000], [0.0000, 4.0790, 0.0000], [0.0000, 0.0000, 8.2058]],
  "species": ["Li", "B", "B", "B", "B", "B", "B", "B", "B", "B", "Zr", "B", "B", "B"],
  "fractional_positions": [[0.0000, 0.0000, 0.5000], [0.5000, 0.1993, 0.2467], [0.5000, 0.1993, 0.7533], [0.8007, 0.5000, 0.2467], [0.5000, 0.5000, 0.0979], [0.5000, 0.8007, 0.2467], [0.1993, 0.5000, 0.7533], [0.5000, 0.5000, 0.9021], [0.5000, 0.5000, 0.6014], [0.5000, 0.8007, 0.7533], [0.0000, 0.0000, 0.0000], [0.1993, 0.5000, 0.2467], [0.5000, 0.5000, 0.3986], [0.8007, 0.5000, 0.7533]],
  "dos_ef_per_ev_atom": 0.13,
  "formation_energy_ev_per_atom": -0.09,
  "magmom_total_mub_per_cell": 0.0
}